First-principles (PBE with a Hubbard U) data for FeSe3O9 after structural relaxation, as listed in Alexandria.

Properties
For the total energy, the calculation gives -5.364 eV/atom. The calculation puts the theoretical density at 3.48 Mg/m³. As for the space group: No. 9. The value obtained for the total magnetic moment is 8.000 Bohr magnetons per cell.

Geometry as POSCAR:
```
FeSe3O9
1.0
-2.505 5.426 2.610
-1.172 -0.356 7.763
7.016 5.072 4.336
O Fe Se
18 2 6
direct
0.083 0.710 0.813
0.414 0.233 0.620
0.711 0.016 0.802
0.322 0.296 0.904
0.394 0.210 0.313
0.478 0.796 0.404
0.576 0.778 0.695
0.679 0.393 0.666
0.054 0.028 0.908
0.263 0.893 0.166
0.951 0.278 0.195
0.233 0.529 0.106
0.471 0.516 0.302
0.772 0.501 0.904
0.131 0.029 0.606
0.733 0.733 0.120
0.823 0.001 0.404
0.011 0.528 0.408
0.482 0.004 0.509
0.005 0.504 0.009
0.027 0.944 0.784
0.908 0.075 0.220
0.245 0.444 0.284
0.486 0.751 0.247
0.515 0.251 0.747
0.797 0.575 0.720
```